(1)
A relaxed CaBeGa2Ir2 crystal. Source: Alexandria, functional PBE-GGA.

Results
The formation energy is -0.511 eV/atom. The calculation puts the density of states at the Fermi level at 2.03 states/eV per cell. As for the size of the total moment: 0.000 μB/f.u.

abc: 4.2705 4.2705 5.5927
angles: 90.00 90.00 90.00
Space group P4/mmm (No. 123)
One atom of each set of equivalent atoms:
Ca 0.0000 0.0000 0.0000 (multiplicity 1)
Be 0.0000 0.0000 0.5000 (multiplicity 1)
Ga 0.5000 0.5000 0.2285 (multiplicity 2)
Ir 0.0000 0.5000 0.5000 (multiplicity 2)



(2)
A relaxed SrRu crystal. Source: Alexandria, functional PBE-GGA.

Results
The formation energy is 0.592 eV/atom. The calculation puts the density of states at the Fermi level at 15.62 states/eV per cell. As for the size of the total moment: 0.216 μB/f.u.

abc: 4.0025 18.2750 4.8098
angles: 90.00 90.00 90.00
Space group Cmmm (No. 65)
One atom of each set of equivalent atoms:
Sr 0.0000 0.0000 0.0000 (multiplicity 2)
Sr 0.0000 0.3403 0.5000 (multiplicity 4)
Ru 0.0000 0.2187 0.0000 (multiplicity 4)
Ru 0.0000 0.5000 0.5000 (multiplicity 2)



(3)
A relaxed CeEuAlTl crystal. Source: Alexandria, functional PBE-GGA.

Results
The formation energy is -0.229 eV/atom. The calculation puts the density of states at the Fermi level at 46.25 states/eV per cell. As for the size of the total moment: 6.530 μB/f.u.

abc: 7.6860 7.6860 7.6860
angles: 90.00 90.00 90.00
Space group F-43m (No. 216)
One atom of each set of equivalent atoms:
Ce 0.0000 0.0000 0.0000 (multiplicity 4)
Eu 0.0000 0.0000 0.5000 (multiplicity 4)
Al 0.2500 0.2500 0.7500 (multiplicity 4)
Tl 0.2500 0.2500 0.2500 (multiplicity 4)